[1]
# U2CdC

Crystalline U2CdC at its relaxed geometry (PBE, Alexandria).

abc: 3.1236 3.1236 29.3346
angles: 90.00 90.00 120.00
Space group R-3m (No. 166, hexagonal axes)
Inequivalent atoms, fractional coordinates:
U (0.0000, 0.0000, 0.1150)
Cd (0.0000, 0.0000, 0.0000)
C (0.0000, 0.0000, 0.5000)

Summary:
Crystal system ... trigonal
Energy of formation from the pure elements ... 0.16 eV per atom

[2]
# VCdC2

Crystalline VCdC2 at its relaxed geometry (PBE, Alexandria).

abc: 4.9608 4.9608 9.2955
angles: 90.00 90.00 90.00
Space group I-42d (No. 122)
Inequivalent atoms, fractional coordinates:
V (0.0000, 0.0000, 0.0000)
Cd (0.0000, 0.0000, 0.5000)
C (0.1796, 0.2500, 0.1250)

Summary:
Crystal system ... tetragonal
Energy of formation from the pure elements ... 0.90 eV per atom

[3]
# VCdC3

Crystalline VCdC3 at its relaxed geometry (PBE, Alexandria).

abc: 4.1842 4.1842 4.1842
angles: 90.00 90.00 90.00
Space group Pm-3m (No. 221)
Inequivalent atoms, fractional coordinates:
V (0.0000, 0.0000, 0.0000)
Cd (0.5000, 0.5000, 0.5000)
C (0.0000, 0.5000, 0.5000)

Summary:
Crystal system ... cubic
Energy of formation from the pure elements ... 3.30 eV per atom

[4]
# VCd3C

Crystalline VCd3C at its relaxed geometry (PBE, Alexandria).

abc: 5.4909 5.4909 5.4909
angles: 90.00 90.00 90.00
Space group Pm-3m (No. 221)
Inequivalent atoms, fractional coordinates:
V (0.0000, 0.0000, 0.0000)
Cd (0.0000, 0.0000, 0.5000)
C (0.5000, 0.5000, 0.5000)

Summary:
Crystal system ... cubic
Energy of formation from the pure elements ... 2.07 eV per atom

[5]
# V2CdC

Crystalline V2CdC at its relaxed geometry (PBE, Alexandria).

abc: 6.2797 6.2797 5.7364
angles: 90.00 90.00 90.00
Space group I-42d (No. 122)
Inequivalent atoms, fractional coordinates:
V (0.1554, 0.7500, 0.1250)
Cd (0.0000, 0.0000, 0.5000)
C (0.0000, 0.0000, 0.0000)

Summary:
Crystal system ... tetragonal
Energy of formation from the pure elements ... 0.45 eV per atom

[6]
# VCdC3

Crystalline VCdC3 at its relaxed geometry (PBE, Alexandria).

abc: 3.9742 3.9742 3.9742
angles: 90.00 90.00 90.00
Space group Pm-3m (No. 221)
Inequivalent atoms, fractional coordinates:
V (0.0000, 0.0000, 0.0000)
Cd (0.5000, 0.5000, 0.5000)
C (0.0000, 0.0000, 0.5000)

Summary:
Crystal system ... cubic
Energy of formation from the pure elements ... 1.69 eV per atom

[7]
# V2CdC

Crystalline V2CdC at its relaxed geometry (PBE, Alexandria).

abc: 5.9479 5.9479 5.9479
angles: 90.00 90.00 90.00
Space group Fm-3m (No. 225)
Inequivalent atoms, fractional coordinates:
V (0.2500, 0.2500, 0.2500)
Cd (0.0000, 0.0000, 0.0000)
C (0.0000, 0.0000, 0.5000)

Summary:
Crystal system ... cubic
Energy of formation from the pure elements ... 1.30 eV per atom

[8]
# VCdC

Crystalline VCdC at its relaxed geometry (PBE, Alexandria).

abc: 2.9096 2.9096 9.9908
angles: 90.00 90.00 90.00
Space group P4/nmm (No. 129, origin choice 2)
Inequivalent atoms, fractional coordinates:
V (0.2500, 0.2500, 0.0972)
Cd (0.2500, 0.2500, 0.6380)
C (0.2500, 0.2500, 0.8954)

Summary:
Crystal system ... tetragonal
Energy of formation from the pure elements ... -0.08 eV per atom